An optimized crystal structure of Cs2U3MoO12, computed with PBE+U.

extended XYZ file:
```
18
Lattice="-2.782 -6.367 3.373 0.814 -6.726 -3.709 5.050 -5.117 2.824" Properties=species:S:1:pos:R:3 pbc="T T T"
Cs 1.934 -11.430 1.561
Cs 1.147 -6.781 0.926
U -1.391 -3.184 1.686
U 0.407 -3.363 -1.854
U 2.525 -2.558 1.412
Mo 0.000 0.000 0.000
O 4.111 -8.975 2.542
O -0.303 -13.901 0.551
O 4.667 -13.107 0.202
O -0.742 -9.750 2.883
O 2.385 -12.879 4.696
O 1.486 -9.972 -1.505
O -1.030 -9.235 -0.055
O 3.384 -4.310 1.937
O -1.586 -5.103 2.286
O 3.823 -8.461 -0.395
O 0.696 -5.331 -2.208
O 1.595 -8.238 3.993
```

Summary:
- total energy (eV per atom) = -8.413